(1)
First-principles (PBE-GGA) data for crystalline NdTa2O6 at its relaxed geometry, as listed in the Alexandria database.

Values from the calculation:
total DFT energy (no corrections) = -9.441 eV per atom
ΔE_f (raw) = -2.972 eV per atom
relative energy among the computed polymorphs = 0.000 eV per atom
SG = P4/mmm, No. 123
crystal system = tetragonal

abc: 3.9873 3.9873 7.9715
angles: 90.00 90.00 90.00
With the nearest neighbours (Å) after each atom.
Element x y z (fractional)
Nd  0.0000  0.0000  0.0000  12 O 2.65-2.82
Ta  0.5000  0.5000  0.2581  6 O 1.93-2.06
Ta  0.5000  0.5000  0.7419  6 O 1.93-2.06
O  0.0000  0.5000  0.2184  2 Ta 2.02
O  0.0000  0.5000  0.7816  2 Ta 2.02
O  0.5000  0.0000  0.2184  2 Ta 2.02
O  0.5000  0.0000  0.7816  2 Ta 2.02
O  0.5000  0.5000  0.0000  2 Ta 2.06
O  0.5000  0.5000  0.5000  2 Ta 1.93

(2)
First-principles (PBE-GGA) data for crystalline NdTa3O9 at its relaxed geometry, as listed in the Alexandria database.

Values from the calculation:
total DFT energy (no corrections) = -9.547 eV per atom
ΔE_f (raw) = -3.012 eV per atom
relative energy among the computed polymorphs = 0.015 eV per atom
SG = P-1, No. 2
crystal system = triclinic

abc: 5.5752 8.8109 8.8904
angles: 101.60 108.23 108.33
With the nearest neighbours (Å) after each atom.
Element x y z (fractional)
Nd  0.1795  0.3389  0.4993  8 O 2.45-2.73
Nd  0.8205  0.6611  0.5007  8 O 2.45-2.73
Ta  0.1656  0.0821  0.7499  6 O 1.97-2.00
Ta  0.1663  0.5872  0.2411  6 O 1.92-2.10
Ta  0.4874  0.2393  0.2342  5 O 1.90-2.06
Ta  0.5126  0.7607  0.7658  5 O 1.90-2.06
Ta  0.8337  0.4128  0.7589  6 O 1.92-2.10
Ta  0.8344  0.9179  0.2501  6 O 1.97-2.00
O  0.0000  0.0000  0.5000  2 Ta 1.99
O  0.0000  0.5000  0.0000  2 Ta 1.92
O  0.0052  0.2542  0.7256  2 Ta 1.95-2.00
O  0.1383  0.5665  0.7047  2 Ta 2.06-2.07
O  0.1756  0.0850  0.2576  2 Ta 1.94-1.98
O  0.2838  0.8902  0.7195  2 Ta 1.97-2.00
O  0.3272  0.4119  0.2481  2 Ta 1.99-2.02
O  0.3527  0.1642  0.9961  2 Ta 1.90-1.97
O  0.3728  0.6432  0.4999  2 Ta 2.10-2.15
O  0.4879  0.2491  0.7350  2 Ta 1.93-1.99
O  0.5121  0.7509  0.2650  2 Ta 1.93-1.99
O  0.6272  0.3568  0.5001  2 Ta 2.10-2.15
O  0.6473  0.8358  0.0039  2 Ta 1.90-1.97
O  0.6728  0.5881  0.7519  2 Ta 1.99-2.02
O  0.7162  0.1098  0.2805  2 Ta 1.97-2.00
O  0.8244  0.9150  0.7424  2 Ta 1.94-1.98
O  0.8618  0.4335  0.2953  2 Ta 2.06-2.07
O  0.9948  0.7458  0.2744  2 Ta 1.95-2.00